Cd2Ag5Au | GGA-PBE | relaxed

Lattice parameters (Å, degrees): 5.9692 11.9412 4.1664 90.00 90.00 90.00
Closest atoms and distances in Å follow each position.
Space group Pbam (No. 55)
Inequivalent atoms, fractional coordinates:
Cd 0.2444 0.1241 0.0000 x4  2 Au 2.94, 10 Ag 2.97-2.99
Ag 0.0000 0.5000 0.5000 x2  6 Ag 2.95-2.99, 4 Cd 2.98, 2 Au 2.98
Ag 0.0072 0.7502 0.5000 x4  7 Ag 2.95-2.99, 4 Cd 2.97, 1 Au 2.98
Ag 0.2435 0.3736 0.0000 x4  6 Ag 2.95-2.96, 4 Cd 2.98-2.99, 2 Au 2.99
Au 0.0000 0.0000 0.5000 x2  4 Cd 2.94, 8 Ag 2.98-2.99

Summary:
Energy relative to the elements = -6.6 kJ per mole of atoms
Volume = 297.0 Å³/cell
DOS at the Fermi energy = 0.406 states/eV/atom
Calculated density = 10748 kg/m3

***

LaMg3Mo | GGA-PBE | relaxed

Lattice parameters (Å, degrees): 5.8286 5.8286 5.8286 90.00 90.00 90.00
Closest atoms and distances in Å follow each position.
Space group Pm-3m (No. 221)
Inequivalent atoms, fractional coordinates:
La 0.0000 0.0000 0.0000 x1  6 Mg 2.91
Mg 0.0000 0.0000 0.5000 x3  2 La 2.91
Mo 0.5000 0.5000 0.5000 x1  12 Mg 4.12

Summary:
Energy relative to the elements = 181.8 kJ per mole of atoms
Volume = 198.0 Å³/cell
DOS at the Fermi energy = 1.043 states/eV/atom
Calculated density = 2581 kg/m3
Energy above the lowest structure with this stoichiometry = 1.293 eV/atom

***

KTaNi2 | GGA-PBE | relaxed

Lattice parameters (Å, degrees): 2.7729 3.5912 8.0573 90.00 90.00 90.00
Closest atoms and distances in Å follow each position.
Space group Pmm2 (No. 25)
Inequivalent atoms, fractional coordinates:
K 0.0000 0.0000 0.0000 x1  2 K 2.77
Ta 0.5000 0.5000 0.6004 x1  5 Ni 2.38-2.59
Ni 0.0000 0.0000 0.4448 x1  6 Ni 2.53-2.77, 4 Ta 2.59
Ni 0.5000 0.5000 0.3053 x1  1 Ta 2.38, 4 Ni 2.53

Summary:
Energy relative to the elements = 49.7 kJ per mole of atoms
Volume = 80.2 Å³/cell
DOS at the Fermi energy = 0.789 states/eV/atom
Calculated density = 6983 kg/m3
Energy above the lowest structure with this stoichiometry = 0.335 eV/atom

***

Ce3FeAu | GGA-PBE | relaxed

Lattice parameters (Å, degrees): 11.3771 4.6406 8.4448 90.00 94.54 90.00
Closest atoms and distances in Å follow each position.
Space group C2/m (No. 12)
Inequivalent atoms, fractional coordinates:
Ce 0.0482 0.0000 0.3155 x4  1 Fe 2.69
Ce 0.1272 0.5000 0.9610 x4  2 Fe 2.37
Ce 0.2268 0.5000 0.2741 x4  3 Ce 2.79-3.12, 3 Au 3.04-3.09
Fe 0.1104 0.0000 0.0146 x4  2 Ce 2.37, 1 Fe 2.50
Au 0.1169 0.5000 0.5901 x4  1 Au 2.96, 6 Ce 3.04-3.13

Summary:
Energy relative to the elements = -25.9 kJ per mole of atoms
Volume = 444.5 Å³/cell
DOS at the Fermi energy = 1.868 states/eV/atom
Calculated density = 10060 kg/m3
Energy above the lowest structure with this stoichiometry = 0.000 eV/atom